# MnHNO2

Crystalline MnHNO2 at its relaxed geometry (PBE with a Hubbard U, the Alexandria database).

a b c (Å): 3.830 3.830 2.668
angles (deg): 90.00 90.00 90.00
Last column: magnetic moment on the atom in μB.
Atoms (fractional coordinates):
Mn 0.500 0.500 0.500  -4.51
H 0.000 0.000 0.000  -0.01
O 0.500 0.000 0.000  -0.01
O 0.000 0.500 0.000  -0.01
N 0.000 0.000 0.500  0.17

Calculated values
The space group is P4/mmm. For the total magnetization, the calculation gives 4.5 μB per formula unit. Its total energy is -25.90 eV/cell.